Tb8As4Se3, relaxed, DFT PBE; raw formation energy = -1557 meV/atom
1.0
-6.727 -3.708 -2.881
7.004 -4.186 0.678
0.457 2.075 7.907
Tb As Se
8 4 3
Direct
0.491 0.243 0.243 Tb
0.000 0.753 0.247 Tb
0.995 0.247 0.247 Tb
0.500 0.754 0.246 Tb
0.500 0.246 0.754 Tb
0.005 0.753 0.753 Tb
0.000 0.247 0.753 Tb
0.509 0.757 0.757 Tb
0.500 0.000 0.000 As
0.000 0.500 0.000 As
0.000 0.000 0.000 As
0.000 0.000 0.500 As
0.500 0.500 0.000 Se
0.500 0.000 0.500 Se
0.500 0.500 0.500 Se

---

Tb5As2Se2, relaxed, DFT PBE; raw formation energy = -1363 meV/atom
1.0
7.709 0.000 0.000
0.000 7.140 -4.115
0.000 -0.666 8.214
Tb As Se
10 4 4
Direct
0.000 0.000 0.000 Tb
0.500 0.500 0.500 Tb
0.156 0.206 0.476 Tb
0.844 0.524 0.794 Tb
0.656 0.024 0.294 Tb
0.344 0.706 0.976 Tb
0.844 0.794 0.524 Tb
0.156 0.476 0.206 Tb
0.344 0.976 0.706 Tb
0.656 0.294 0.024 Tb
0.355 0.146 0.146 As
0.645 0.854 0.854 As
0.855 0.354 0.354 As
0.145 0.646 0.646 As
0.000 0.803 0.197 Se
0.500 0.303 0.697 Se
0.000 0.197 0.803 Se
0.500 0.697 0.303 Se

---

Tb3AsSe2, relaxed, DFT PBE; raw formation energy = -1751 meV/atom
1.0
4.102 0.000 0.000
0.000 5.799 0.000
-2.051 -2.900 6.203
Tb As Se
3 1 2
Direct
0.841 0.341 0.181 Tb
0.159 0.659 0.819 Tb
0.500 0.000 0.500 Tb
0.500 0.500 0.500 As
0.832 0.832 0.163 Se
0.168 0.168 0.837 Se

---

no.,magnetic moment (μB per atom),V (Å³ per cell)
1,0.000,388.9
2,0.000,431.0
3,0.000,147.6